MgZn2Hg | meta-GGA SCAN | PBEsol geometry

Cell and atoms, written as POSCAR:
```
MgZn2Hg
1.0
4.0524 0.0000 0.0000
0.0000 4.0524 0.0000
0.0000 0.0000 4.2419
Mg Zn Hg
1 2 1
direct
0.0000 0.0000 0.0000
0.0000 0.5000 0.5000
0.5000 0.0000 0.5000
0.5000 0.5000 0.0000
```

Output
E_tot, eV for the cell shown: -100.5
M_tot, Bohr magnetons per cell: 0.0
Formation energy, meV/atom: -75
Symmetry: P4/mmm



TlSiIr2 | meta-GGA SCAN | PBEsol geometry

Cell and atoms, written as POSCAR:
```
TlSiIr2
1.0
3.2625 0.0000 0.0000
0.0000 3.2625 0.0000
0.0000 0.0000 6.2641
Tl Si Ir
1 1 2
direct
0.0000 0.0000 0.0000
0.5000 0.5000 0.6451
0.0000 0.0000 0.5457
0.5000 0.5000 0.2592
```

Output
E_tot, eV for the cell shown: -223.4
ΔE_f (raw), eV per atom: 0.304
M_tot, Bohr magnetons per cell: 0.0
Symmetry: P4mm



Li2LaIn2 | meta-GGA SCAN | PBEsol geometry

Cell and atoms, written as POSCAR:
```
Li2LaIn2
1.0
-2.1630 2.1630 6.5499
2.1630 -2.1630 6.5499
2.1630 2.1630 -6.5499
Li La In
2 1 2
direct
0.2500 0.7500 0.5000
0.7500 0.2500 0.5000
0.0000 0.0000 0.0000
0.3893 0.3893 0.0000
0.6107 0.6107 0.0000
```

Output
E_tot, eV for the cell shown: -116.8
M_tot, Bohr magnetons per cell: 0.0
Formation energy, meV/atom: -431
Symmetry: I4/mmm



Co2Si | meta-GGA SCAN | PBEsol geometry

Cell and atoms, written as POSCAR:
```
Co2Si
1.0
4.8025 0.0000 0.0000
0.0000 3.6686 0.0000
0.0000 0.0000 6.9701
Co Si
8 4
direct
0.0386 0.2500 0.2192
0.1731 0.2500 0.5653
0.3269 0.7500 0.0653
0.4614 0.7500 0.7192
0.5386 0.2500 0.2808
0.6731 0.2500 0.9347
0.8269 0.7500 0.4347
0.9614 0.7500 0.7808
0.1993 0.2500 0.8950
0.3007 0.7500 0.3950
0.6993 0.2500 0.6050
0.8007 0.7500 0.1050
```

Output
E_tot, eV for the cell shown: -183.0
ΔE_f (raw), eV per atom: -0.373
M_tot, Bohr magnetons per cell: 5.3
Symmetry: Pnma



Mg2NiSb | meta-GGA SCAN | PBEsol geometry

Cell and atoms, written as POSCAR:
```
Mg2NiSb
1.0
-2.0580 2.0580 4.2051
2.0580 -2.0580 4.2051
2.0580 2.0580 -4.2051
Mg Ni Sb
2 1 1
direct
0.0000 0.0000 0.0000
0.7500 0.2500 0.5000
0.5000 0.5000 0.0000
0.2500 0.7500 0.5000
```

Output
E_tot, eV for the cell shown: -63.7
ΔE_f (raw), eV per atom: -0.068
M_tot, Bohr magnetons per cell: 0.0
Symmetry: I-4m2



NbSi2B | meta-GGA SCAN | PBEsol geometry

Cell and atoms, written as POSCAR:
```
NbSi2B
1.0
-3.1750 3.1750 2.5696
3.1750 -3.1750 2.5696
3.1750 3.1750 -2.5696
Nb Si B
2 4 2
direct
0.0000 0.0000 0.0000
0.7500 0.2500 0.5000
0.2045 0.6250 0.0795
0.3750 0.4545 0.5795
0.5455 0.1250 0.9205
0.8750 0.7955 0.4205
0.2500 0.7500 0.5000
0.5000 0.5000 0.0000
```

Output
E_tot, eV for the cell shown: -119.9
ΔE_f (raw), eV per atom: 0.160
M_tot, Bohr magnetons per cell: 0.0
Symmetry: I-42d